Below is an optimized crystal structure of TbTl2Ag, with properties calculated at the PBE level.

For the formation energy, the calculation gives -0.8 eV/f.u. For the size of the total moment, the calculation gives 0.00 μB per formula unit. Its space-group type is No. 123. The energy above the most stable polymorph in this dataset is 37 meV/atom.

Cell lengths 4.814, 4.814, 4.302 Å; angles 90.00, 90.00, 90.00 degrees
Atoms (fractional coordinates):
Tb: 0.000 0.000 0.000
Tl: 0.000 0.500 0.500
Tl: 0.500 0.000 0.500
Ag: 0.500 0.500 0.000


Below is an optimized crystal structure of LiTiCr2Te6, with properties calculated at the PBE level.

As for the total energy: -5.185 eV per atom. For the size of the total moment, the calculation gives 5.18 μB per formula unit. Its space-group type is No. 146.

Cell lengths 7.288, 7.288, 7.288 Å; angles 56.72, 56.72, 56.72 degrees
Atoms (fractional coordinates):
Li: 0.000 0.000 0.000
Ti: 0.495 0.495 0.495
Cr: 0.325 0.325 0.325
Cr: 0.828 0.828 0.828
Te: 0.077 0.735 0.422
Te: 0.246 0.577 0.911
Te: 0.422 0.077 0.735
Te: 0.577 0.911 0.246
Te: 0.735 0.422 0.077
Te: 0.911 0.246 0.577


Below is an optimized crystal structure of Y2Be3Cu12Pd, with properties calculated at the PBE level.

For the formation energy, the calculation gives 6.0 eV/f.u. For the size of the total moment, the calculation gives 0.00 μB per formula unit. Its space-group type is No. 166.

Cell lengths 7.234, 7.234, 7.234 Å; angles 63.24, 63.24, 63.24 degrees
Atoms (fractional coordinates):
Y: 0.100 0.100 0.100
Y: 0.900 0.900 0.900
Be: 0.000 0.500 0.500
Be: 0.500 0.000 0.500
Be: 0.500 0.500 0.000
Cu: 0.098 0.633 0.633
Cu: 0.167 0.167 0.606
Cu: 0.167 0.606 0.167
Cu: 0.367 0.367 0.902
Cu: 0.367 0.902 0.367
Cu: 0.394 0.833 0.833
Cu: 0.606 0.167 0.167
Cu: 0.633 0.098 0.633
Cu: 0.633 0.633 0.098
Cu: 0.833 0.394 0.833
Cu: 0.833 0.833 0.394
Cu: 0.902 0.367 0.367
Pd: 0.500 0.500 0.500


Below is an optimized crystal structure of Cd2CuB2Rh5, with properties calculated at the PBE level.

For the formation energy, the calculation gives -2.5 eV/f.u. For the size of the total moment, the calculation gives 0.00 μB per formula unit. Its space-group type is No. 127.

Cell lengths 9.630, 9.630, 2.906 Å; angles 90.00, 90.00, 90.00 degrees
Atoms (fractional coordinates):
Cd: 0.179 0.321 0.000
Cd: 0.321 0.821 0.000
Cd: 0.679 0.179 0.000
Cd: 0.821 0.679 0.000
Cu: 0.000 0.000 0.000
Cu: 0.500 0.500 0.000
B: 0.126 0.626 0.000
B: 0.374 0.126 0.000
B: 0.626 0.874 0.000
B: 0.874 0.374 0.000
Rh: 0.000 0.500 0.500
Rh: 0.068 0.781 0.500
Rh: 0.219 0.068 0.500
Rh: 0.281 0.568 0.500
Rh: 0.432 0.281 0.500
Rh: 0.500 0.000 0.500
Rh: 0.568 0.719 0.500
Rh: 0.719 0.432 0.500
Rh: 0.781 0.932 0.500
Rh: 0.932 0.219 0.500


size of the total moment of number 1 (TbTl2Ag)?
0.00 μB per formula unit


Look up the size of the total moment of the fourth one.
0.00 μB per formula unit


Among the records above, which one has the highest size of the total moment?
LiTiCr2Te6